{
  "formula": "La6PmPr2Tm",
  "functional": "PBE",
  "state": "relaxed",
  "sg": "C2/c",
  "energy_ev_per_atom": -4.727,
  "magnetic_moment_mub_per_cell": 0.00,
  "e_form_ev_per_atom": 0.108,
  "cell": [[4.962, -7.725, 0.000], [4.962, 7.725, 0.000], [-0.047, 0.000, 9.321]],
  "species": ["La", "La", "La", "La", "La", "La", "La", "La", "La", "La", "La", "La", "Pm", "Pm", "Pr", "Pr", "Pr", "Pr", "Tm", "Tm"],
  "fractional_positions": [[0.031, 0.467, 0.681], [0.076, 0.777, 0.907], [0.223, 0.924, 0.593], [0.279, 0.572, 0.093], [0.428, 0.721, 0.407], [0.467, 0.031, 0.181], [0.533, 0.969, 0.819], [0.572, 0.279, 0.593], [0.721, 0.428, 0.907], [0.777, 0.076, 0.407], [0.924, 0.223, 0.093], [0.969, 0.533, 0.319], [0.070, 0.930, 0.250], [0.930, 0.070, 0.750], [0.207, 0.296, 0.436], [0.296, 0.207, 0.936], [0.704, 0.793, 0.064], [0.793, 0.704, 0.564], [0.432, 0.568, 0.750], [0.568, 0.432, 0.250]]
}

---

{
  "formula": "RbMg2ZrGa",
  "functional": "PBE",
  "state": "relaxed",
  "sg": "P4/mmm",
  "energy_ev_per_atom": -1.973,
  "magnetic_moment_mub_per_cell": 3.45,
  "e_form_ev_per_atom": 1.174,
  "cell": [[5.764, 0.000, 0.000], [0.000, 5.764, 0.000], [0.000, 0.000, 6.311]],
  "species": ["Rb", "Mg", "Mg", "Zr", "Ga"],
  "fractional_positions": [[0.000, 0.000, 0.000], [0.000, 0.500, 0.500], [0.500, 0.000, 0.500], [0.000, 0.000, 0.500], [0.500, 0.500, 0.000]]
}

---

{
  "formula": "Zr2SiAs",
  "functional": "PBE",
  "state": "relaxed",
  "sg": "Fm-3m",
  "energy_ev_per_atom": -7.321,
  "magnetic_moment_mub_per_cell": 0.00,
  "raw_formation_energy_ev_per_atom": -0.528,
  "cell": [[0.000, 3.351, 3.351], [3.351, 0.000, 3.351], [3.351, 3.351, 0.000]],
  "species": ["Zr", "Zr", "Si", "As"],
  "fractional_positions": [[0.250, 0.250, 0.250], [0.750, 0.750, 0.750], [0.000, 0.000, 0.000], [0.500, 0.500, 0.500]]
}

---

{
  "formula": "SrCaN2F",
  "functional": "PBE",
  "state": "relaxed",
  "sg": "P4/mmm",
  "energy_ev_per_atom": -5.017,
  "magnetic_moment_mub_per_cell": 3.00,
  "raw_formation_energy_ev_per_atom": -0.576,
  "cell": [[4.613, 0.000, 0.000], [0.000, 4.613, 0.000], [0.000, 0.000, 4.298]],
  "species": ["Sr", "Ca", "N", "N", "F"],
  "fractional_positions": [[0.000, 0.000, 0.000], [0.500, 0.500, 0.500], [0.000, 0.500, 0.500], [0.500, 0.000, 0.500], [0.500, 0.500, 0.000]]
}

---

{
  "formula": "MgAl2TcCl",
  "functional": "PBE",
  "state": "relaxed",
  "sg": "P4/mmm",
  "energy_ev_per_atom": -3.959,
  "magnetic_moment_mub_per_cell": 0.08,
  "raw_formation_energy_ev_per_atom": 0.299,
  "cell": [[4.758, 0.000, 0.000], [0.000, 4.758, 0.000], [0.000, 0.000, 5.306]],
  "species": ["Mg", "Al", "Al", "Tc", "Cl"],
  "fractional_positions": [[0.000, 0.000, 0.000], [0.000, 0.500, 0.500], [0.500, 0.000, 0.500], [0.000, 0.000, 0.500], [0.500, 0.500, 0.000]]
}

---

{
  "formula": "HoUFe",
  "functional": "PBE",
  "state": "relaxed",
  "sg": "I4mm",
  "energy_ev_per_atom": -8.041,
  "magnetic_moment_mub_per_cell": 0.01,
  "e_form_ev_per_atom": 0.068,
  "cell": [[-1.663, 1.663, 5.464], [1.663, -1.663, 5.464], [1.663, 1.663, -5.464]],
  "species": ["Ho", "U", "Fe"],
  "fractional_positions": [[0.000, 0.000, 0.000], [0.708, 0.708, 0.000], [0.291, 0.291, 0.000]]
}

---

{
  "formula": "LiCaAl2",
  "functional": "PBE",
  "state": "relaxed",
  "sg": "Fm-3m",
  "energy_ev_per_atom": -2.920,
  "magnetic_moment_mub_per_cell": 0.00,
  "e_form_ev_per_atom": -0.070,
  "cell": [[0.000, 3.481, 3.481], [3.481, 0.000, 3.481], [3.481, 3.481, 0.000]],
  "species": ["Li", "Ca", "Al", "Al"],
  "fractional_positions": [[0.000, 0.000, 0.000], [0.500, 0.500, 0.500], [0.250, 0.250, 0.250], [0.750, 0.750, 0.750]]
}

---

{
  "formula": "AcTa2N4",
  "functional": "PBE",
  "state": "relaxed",
  "sg": "Cmcm",
  "energy_ev_per_atom": -9.885,
  "magnetic_moment_mub_per_cell": 0.00,
  "raw_formation_energy_ev_per_atom": -1.154,
  "cell": [[1.630, -5.228, 0.000], [1.630, 5.228, 0.000], [0.000, 0.000, 10.748]],
  "species": ["Ac", "Ac", "Ta", "Ta", "Ta", "Ta", "N", "N", "N", "N", "N", "N", "N", "N"],
  "fractional_positions": [[0.116, 0.884, 0.750], [0.884, 0.116, 0.250], [0.371, 0.629, 0.563], [0.371, 0.629, 0.937], [0.629, 0.371, 0.063], [0.629, 0.371, 0.437], [0.000, 0.000, 0.000], [0.000, 0.000, 0.500], [0.263, 0.737, 0.102], [0.263, 0.737, 0.398], [0.419, 0.581, 0.750], [0.581, 0.419, 0.250], [0.737, 0.263, 0.602], [0.737, 0.263, 0.898]]
}

---

{
  "formula": "SnS2BrN",
  "functional": "PBE",
  "state": "relaxed",
  "sg": "P4/mmm",
  "energy_ev_per_atom": -3.374,
  "magnetic_moment_mub_per_cell": 0.00,
  "raw_formation_energy_ev_per_atom": 1.077,
  "cell": [[5.188, 0.000, 0.000], [0.000, 5.188, 0.000], [0.000, 0.000, 4.002]],
  "species": ["Sn", "S", "S", "Br", "N"],
  "fractional_positions": [[0.000, 0.000, 0.000], [0.000, 0.500, 0.000], [0.500, 0.000, 0.000], [0.500, 0.500, 0.500], [0.000, 0.000, 0.500]]
}

---

{
  "formula": "LaIr",
  "functional": "PBE",
  "state": "relaxed",
  "sg": "P6_3/mmc",
  "energy_ev_per_atom": -7.624,
  "magnetic_moment_mub_per_cell": 0.00,
  "e_form_ev_per_atom": -0.729,
  "cell": [[4.496, 0.000, 0.000], [-2.248, 3.894, 0.000], [0.000, 0.000, 5.790]],
  "species": ["La", "La", "Ir", "Ir"],
  "fractional_positions": [[0.333, 0.667, 0.250], [0.667, 0.333, 0.750], [0.000, 0.000, 0.000], [0.000, 0.000, 0.500]]
}

---

{
  "formula": "SiTe2As",
  "functional": "PBE",
  "state": "relaxed",
  "sg": "Cm",
  "energy_ev_per_atom": -3.914,
  "magnetic_moment_mub_per_cell": 0.00,
  "raw_formation_energy_ev_per_atom": 0.175,
  "cell": [[6.064, -2.061, 0.000], [6.064, 2.061, 0.000], [-1.204, 0.000, 4.046]],
  "species": ["Si", "Te", "Te", "As"],
  "fractional_positions": [[0.000, 0.000, 0.000], [0.246, 0.246, 0.294], [0.518, 0.518, 0.575], [0.777, 0.777, 0.840]]
}

---

{
  "formula": "Sm6Ho3Th",
  "functional": "PBE",
  "state": "relaxed",
  "sg": "P2_1/c",
  "energy_ev_per_atom": -4.729,
  "magnetic_moment_mub_per_cell": 0.00,
  "e_form_ev_per_atom": 0.218,
  "cell": [[4.994, 0.000, 0.000], [0.000, 11.045, 0.000], [-0.055, 0.000, 12.457]],
  "species": ["Sm", "Sm", "Sm", "Sm", "Sm", "Sm", "Sm", "Sm", "Sm", "Sm", "Sm", "Sm", "Ho", "Ho", "Ho", "Ho", "Ho", "Ho", "Th", "Th"],
  "fractional_positions": [[0.000, 0.198, 0.003], [0.000, 0.302, 0.503], [0.000, 0.698, 0.497], [0.000, 0.802, 0.997], [0.002, 0.004, 0.782], [0.002, 0.496, 0.282], [0.498, 0.163, 0.360], [0.498, 0.337, 0.860], [0.502, 0.663, 0.140], [0.502, 0.837, 0.640], [0.998, 0.504, 0.718], [0.998, 0.996, 0.218], [0.498, 0.659, 0.866], [0.498, 0.841, 0.366], [0.500, 0.000, 0.000], [0.500, 0.500, 0.500], [0.502, 0.159, 0.634], [0.502, 0.341, 0.134], [0.000, 0.000, 0.500], [0.000, 0.500, 0.000]]
}